1.
The following is a PBE calculation of crystalline H2Pd2Pt3 at its relaxed geometry, from Alexandria via LeMat-Bulk.

Output
Electronic total energy: -4.982 eV/atom
Density of states at the Fermi level: 7.7 states/eV/f.u.

a = 9.277 Å, b = 2.802 Å, c = 6.998 Å
α = 90.00°, β = 110.26°, γ = 90.00°
Space group C2/m (No. 12)
Inequivalent atoms, fractional coordinates:
H1 0.042 0.000 0.231 x4
Pd1 0.183 0.000 0.802 x4
Pt1 0.000 0.500 0.000 x2
Pt2 0.113 0.500 0.418 x4


2.
The following is a PBE calculation of crystalline H2PdPt at its relaxed geometry, from Alexandria via LeMat-Bulk.

Output
Electronic total energy: -4.431 eV/atom
Density of states at the Fermi level: 1.0 states/eV/f.u.

a = 2.8845 Å, b = 2.8845 Å, c = 16.2152 Å
α = 90.00°, β = 90.00°, γ = 120.00°
Space group R3m (No. 160, hexagonal axes)
Inequivalent atoms, fractional coordinates:
H1 0.0000 0.0000 0.0000 x3
H2 0.0000 0.0000 0.1689 x3
Pd1 0.0000 0.0000 0.3756 x3
Pt1 0.0000 0.0000 0.5514 x3


3.
The following is a PBE calculation of crystalline H5Pd4Pt2 at its relaxed geometry, from Alexandria via LeMat-Bulk.

Output
Electronic total energy: -4.546 eV/atom
Density of states at the Fermi level: 2.7 states/eV/f.u.

a = 9.428 Å, b = 4.234 Å, c = 5.847 Å
α = 90.00°, β = 107.39°, γ = 90.00°
Space group Cm (No. 8)
Inequivalent atoms, fractional coordinates:
H1 0.000 0.000 0.000 x2
H2 0.029 0.242 0.653 x4
H3 0.338 0.252 0.289 x4
Pd1 0.005 0.500 0.899 x2
Pd2 0.010 0.500 0.389 x2
Pd3 0.171 0.000 0.233 x2
Pd4 0.334 0.500 0.561 x2
Pt1 0.186 0.000 0.734 x2
Pt2 0.328 0.500 0.037 x2


4.
The following is a PBE calculation of crystalline H8Pd5Pt at its relaxed geometry, from Alexandria via LeMat-Bulk.

Output
Electronic total energy: -4.191 eV/atom
Density of states at the Fermi level: 2.1 states/eV/f.u.

a = 5.716 Å, b = 5.716 Å, c = 7.479 Å
α = 90.00°, β = 90.00°, γ = 90.00°
Space group I-4 (No. 82)
Inequivalent atoms, fractional coordinates:
H1 0.033 0.228 0.367 x8
H2 0.034 0.282 0.874 x8
Pd1 0.000 0.000 0.000 x2
Pd2 0.064 0.250 0.626 x8
Pt1 0.000 0.500 0.250 x2


5.
The following is a PBE calculation of crystalline HPd2Pt at its relaxed geometry, from Alexandria via LeMat-Bulk.

Output
Electronic total energy: -4.837 eV/atom
Density of states at the Fermi level: 4.9 states/eV/f.u.

a = 6.053 Å, b = 6.053 Å, c = 5.595 Å
α = 90.00°, β = 90.00°, γ = 90.00°
Space group I-42d (No. 122)
Inequivalent atoms, fractional coordinates:
H1 0.000 0.000 0.000 x4
Pd1 0.143 0.750 0.125 x8
Pt1 0.000 0.000 0.500 x4


6.
The following is a PBE calculation of crystalline HPd2Pt at its relaxed geometry, from Alexandria via LeMat-Bulk.

Output
Electronic total energy: -4.983 eV/atom
Density of states at the Fermi level: 5.4 states/eV/f.u.

a = 4.850 Å, b = 2.823 Å, c = 7.616 Å
α = 90.00°, β = 107.75°, γ = 90.00°
Space group Cm (No. 8)
Inequivalent atoms, fractional coordinates:
H1 0.000 0.000 0.000 x2
Pd1 0.268 0.000 0.871 x2
Pd2 0.469 0.500 0.225 x2
Pt1 0.261 0.500 0.545 x2


Question: Among the records above, which one has the highest density of states at the Fermi level?
Answer: H2Pd2Pt3


Question: What is the formula in the fourth record?
Answer: H8Pd5Pt


Question: Number 3 is which compound?
Answer: H5Pd4Pt2


Question: The lowest density of states at the Fermi level belongs to which entry?
Answer: H2PdPt